DFT (SCAN) results for a PBEsol-optimized structure of Dy2Re3Si5.

* DFT total energy: -1.342 hartree per atom
* uncorrected formation energy: -0.62 eV/atom

CIF file:
```
data_Dy2Re3Si5
_chemical_formula_sum 'Dy8 Re12 Si20'
_symmetry_space_group_name_H-M 'P 4/m n c'
_symmetry_Int_Tables_number 128
_symmetry_space_group_name_Hall '-P 4 2n'
_cell_length_a 10.902
_cell_length_b 10.902
_cell_length_c 5.455
_cell_angle_alpha 90.00
_cell_angle_beta 90.00
_cell_angle_gamma 90.00
loop_
_atom_site_label
_atom_site_type_symbol
_atom_site_fract_x
_atom_site_fract_y
_atom_site_fract_z
Dy1 Dy 0.078 0.237 0.000
Re1 Re 0.000 0.500 0.250
Re2 Re 0.123 0.853 0.500
Si1 Si 0.000 0.000 0.240
Si2 Si 0.029 0.314 0.500
Si3 Si 0.172 0.672 0.250
```

DFT (SCAN) results for a PBEsol-optimized structure of FePt2.

* DFT total energy: -1.953 hartree per atom
* energy of formation: -0.313 eV per atom

CIF file:
```
data_FePt2
_chemical_formula_sum 'Fe4 Pt8'
_symmetry_space_group_name_H-M 'C 1 2/m 1'
_symmetry_Int_Tables_number 12
_cell_length_a 10.026
_cell_length_b 2.711
_cell_length_c 6.459
_cell_angle_alpha 90.00
_cell_angle_beta 106.49
_cell_angle_gamma 90.00
loop_
_symmetry_equiv_pos_as_xyz
'x,y,z'
'-x,-y,-z'
'-x,y,-z'
'x,-y,z'
'x+1/2,y+1/2,z'
'-x+1/2,-y+1/2,-z'
'-x+1/2,y+1/2,-z'
'x+1/2,-y+1/2,z'
loop_
_atom_site_label
_atom_site_type_symbol
_atom_site_fract_x
_atom_site_fract_y
_atom_site_fract_z
Fe1 Fe 0.029 0.000 0.294
Pt1 Pt 0.137 0.500 0.032
Pt2 Pt 0.177 0.500 0.623
```

DFT (SCAN) results for a PBEsol-optimized structure of AlZnIrPb2.

* DFT total energy: -1.764 hartree per atom
* energy of formation: 0.778 eV per atom

CIF file:
```
data_AlZnIrPb2
_chemical_formula_sum 'Al1 Zn1 Ir1 Pb2'
_symmetry_space_group_name_H-M 'P 4/m m m'
_symmetry_Int_Tables_number 123
_symmetry_space_group_name_Hall '-P 4 2'
_cell_length_a 5.305
_cell_length_b 5.305
_cell_length_c 4.529
_cell_angle_alpha 90.00
_cell_angle_beta 90.00
_cell_angle_gamma 90.00
loop_
_atom_site_label
_atom_site_type_symbol
_atom_site_fract_x
_atom_site_fract_y
_atom_site_fract_z
Al1 Al 0.000 0.000 0.000
Zn1 Zn 0.500 0.500 0.500
Ir1 Ir 0.000 0.000 0.500
Pb1 Pb 0.000 0.500 0.000
```

DFT (SCAN) results for a PBEsol-optimized structure of CuAs2W.

* DFT total energy: -1.132 hartree per atom
* energy of formation: 0.505 eV per atom
* offset from the most stable computed form: 22.6 kJ/mol of atoms

CIF file:
```
data_CuAs2W
_chemical_formula_sum 'Cu2 As4 W2'
_symmetry_space_group_name_H-M 'C m m m'
_symmetry_Int_Tables_number 65
_symmetry_space_group_name_Hall '-C 2 2'
_cell_length_a 3.348
_cell_length_b 4.730
_cell_length_c 7.888
_cell_angle_alpha 90.00
_cell_angle_beta 90.00
_cell_angle_gamma 90.00
loop_
_atom_site_label
_atom_site_type_symbol
_atom_site_fract_x
_atom_site_fract_y
_atom_site_fract_z
Cu1 Cu 0.000 0.000 0.000
As1 As 0.000 0.500 0.247
W1 W 0.000 0.000 0.500
```

DFT (SCAN) results for a PBEsol-optimized structure of Tl2Pd9Pb.

* DFT total energy: -1.587 hartree per atom
* energy of formation: -0.218 eV per atom

CIF file:
```
data_Tl2Pd9Pb
_chemical_formula_sum 'Tl4 Pd18 Pb2'
_symmetry_space_group_name_H-M 'I 4 m m'
_symmetry_Int_Tables_number 107
_symmetry_space_group_name_Hall 'I 4 -2'
_cell_length_a 4.079
_cell_length_b 4.079
_cell_length_c 23.295
_cell_angle_alpha 90.00
_cell_angle_beta 90.00
_cell_angle_gamma 90.00
loop_
_atom_site_label
_atom_site_type_symbol
_atom_site_fract_x
_atom_site_fract_y
_atom_site_fract_z
Tl1 Tl 0.000 0.000 0.000
Tl2 Tl 0.000 0.000 0.165
Pd1 Pd 0.000 0.000 0.498
Pd2 Pd 0.000 0.000 0.666
Pd3 Pd 0.000 0.000 0.835
Pd4 Pd 0.000 0.500 0.082
Pd5 Pd 0.000 0.500 0.250
Pd6 Pd 0.000 0.500 0.417
Pb1 Pb 0.000 0.000 0.332
```

DFT (SCAN) results for a PBEsol-optimized structure of TaSb2As.

* DFT total energy: -1.460 hartree per atom
* uncorrected formation energy: 0.59 eV/atom

CIF file:
```
data_TaSb2As
_chemical_formula_sum 'Ta4 Sb8 As4'
_symmetry_space_group_name_H-M 'F -4 3 m'
_symmetry_Int_Tables_number 216
_symmetry_space_group_name_Hall 'F -4 2 3'
_cell_length_a 6.912
_cell_length_b 6.912
_cell_length_c 6.912
_cell_angle_alpha 90.00
_cell_angle_beta 90.00
_cell_angle_gamma 90.00
loop_
_atom_site_label
_atom_site_type_symbol
_atom_site_fract_x
_atom_site_fract_y
_atom_site_fract_z
Ta1 Ta 0.000 0.000 0.000
Sb1 Sb 0.000 0.000 0.500
Sb2 Sb 0.250 0.250 0.750
As1 As 0.250 0.250 0.250
```

DFT (SCAN) results for a PBEsol-optimized structure of CdTc2Mo.

* DFT total energy: -1.231 hartree per atom
* energy of formation: 0.360 eV per atom

CIF file:
```
data_CdTc2Mo
_chemical_formula_sum 'Cd1 Tc2 Mo1'
_symmetry_space_group_name_H-M 'P 1 2/m 1'
_symmetry_Int_Tables_number 10
_cell_length_a 2.708
_cell_length_b 4.163
_cell_length_c 5.601
_cell_angle_alpha 90.00
_cell_angle_beta 100.03
_cell_angle_gamma 90.00
loop_
_symmetry_equiv_pos_as_xyz
'x,y,z'
'-x,-y,-z'
'-x,y,-z'
'x,-y,z'
loop_
_atom_site_label
_atom_site_type_symbol
_atom_site_fract_x
_atom_site_fract_y
_atom_site_fract_z
Cd1 Cd 0.000 0.000 0.000
Tc1 Tc 0.414 0.500 0.731
Mo1 Mo 0.000 0.000 0.500
```

DFT (SCAN) results for a PBEsol-optimized structure of ZnCd2Hg2.

* DFT total energy: -1.541 hartree per atom
* energy of formation: 0.211 eV per atom

CIF file:
```
data_ZnCd2Hg2
_chemical_formula_sum 'Zn2 Cd4 Hg4'
_symmetry_space_group_name_H-M 'I 4/m m m'
_symmetry_Int_Tables_number 139
_symmetry_space_group_name_Hall '-I 4 2'
_cell_length_a 4.017
_cell_length_b 4.017
_cell_length_c 14.141
_cell_angle_alpha 90.00
_cell_angle_beta 90.00
_cell_angle_gamma 90.00
loop_
_atom_site_label
_atom_site_type_symbol
_atom_site_fract_x
_atom_site_fract_y
_atom_site_fract_z
Zn1 Zn 0.000 0.000 0.000
Cd1 Cd 0.000 0.500 0.250
Hg1 Hg 0.000 0.000 0.404
```

DFT (SCAN) results for a PBEsol-optimized structure of Sr2H2Pd.

* DFT total energy: -0.640 hartree per atom

CIF file:
```
data_Sr2H2Pd
_chemical_formula_sum 'Sr4 H4 Pd2'
_symmetry_space_group_name_H-M 'I 4/m m m'
_symmetry_Int_Tables_number 139
_symmetry_space_group_name_Hall '-I 4 2'
_cell_length_a 3.830
_cell_length_b 3.830
_cell_length_c 13.086
_cell_angle_alpha 90.00
_cell_angle_beta 90.00
_cell_angle_gamma 90.00
loop_
_atom_site_label
_atom_site_type_symbol
_atom_site_fract_x
_atom_site_fract_y
_atom_site_fract_z
Sr1 Sr 0.000 0.000 0.139
H1 H 0.000 0.500 0.250
Pd1 Pd 0.000 0.000 0.500
```

DFT (SCAN) results for a PBEsol-optimized structure of BeRhW3.

* DFT total energy: -1.729 hartree per atom
* energy of formation: 2.382 eV per atom

CIF file:
```
data_BeRhW3
_chemical_formula_sum 'Be1 Rh1 W3'
_symmetry_space_group_name_H-M 'P m -3 m'
_symmetry_Int_Tables_number 221
_symmetry_space_group_name_Hall '-P 4 2 3'
_cell_length_a 4.623
_cell_length_b 4.623
_cell_length_c 4.623
_cell_angle_alpha 90.00
_cell_angle_beta 90.00
_cell_angle_gamma 90.00
loop_
_atom_site_label
_atom_site_type_symbol
_atom_site_fract_x
_atom_site_fract_y
_atom_site_fract_z
Be1 Be 0.000 0.000 0.000
Rh1 Rh 0.500 0.500 0.500
W1 W 0.000 0.500 0.500
```

DFT (SCAN) results for a PBEsol-optimized structure of SrFe2Br.

* DFT total energy: -0.705 hartree per atom
* uncorrected formation energy: 0.31 eV/atom
* offset from the most stable computed form: 25.7 kJ/mol of atoms

CIF file:
```
data_SrFe2Br
_chemical_formula_sum 'Sr1 Fe2 Br1'
_symmetry_space_group_name_H-M 'P 4/m m m'
_symmetry_Int_Tables_number 123
_symmetry_space_group_name_Hall '-P 4 2'
_cell_length_a 3.946
_cell_length_b 3.946
_cell_length_c 5.513
_cell_angle_alpha 90.00
_cell_angle_beta 90.00
_cell_angle_gamma 90.00
loop_
_atom_site_label
_atom_site_type_symbol
_atom_site_fract_x
_atom_site_fract_y
_atom_site_fract_z
Sr1 Sr 0.000 0.000 0.000
Fe1 Fe 0.000 0.500 0.500
Br1 Br 0.500 0.500 0.000
```

DFT (SCAN) results for a PBEsol-optimized structure of La3AsBr3.

* DFT total energy: -1.161 hartree per atom
* uncorrected formation energy: -1.90 eV/atom

CIF file:
```
data_La3AsBr3
_chemical_formula_sum 'La24 As8 Br24'
_symmetry_space_group_name_H-M 'I 41 3 2'
_symmetry_Int_Tables_number 214
_symmetry_space_group_name_Hall 'I 4bd 2c 3'
_cell_length_a 12.000
_cell_length_b 12.000
_cell_length_c 12.000
_cell_angle_alpha 90.00
_cell_angle_beta 90.00
_cell_angle_gamma 90.00
loop_
_atom_site_label
_atom_site_type_symbol
_atom_site_fract_x
_atom_site_fract_y
_atom_site_fract_z
La1 La 0.117 0.367 0.125
As1 As 0.125 0.125 0.125
Br1 Br 0.118 0.132 0.625
```

DFT (SCAN) results for a PBEsol-optimized structure of K2CaW.

* DFT total energy: -0.822 hartree per atom
* energy of formation: 1.629 eV per atom
* offset from the most stable computed form: 9.0 kJ/mol of atoms

CIF file:
```
data_K2CaW
_chemical_formula_sum 'K2 Ca1 W1'
_symmetry_space_group_name_H-M 'P 4/m m m'
_symmetry_Int_Tables_number 123
_symmetry_space_group_name_Hall '-P 4 2'
_cell_length_a 4.753
_cell_length_b 4.753
_cell_length_c 7.000
_cell_angle_alpha 90.00
_cell_angle_beta 90.00
_cell_angle_gamma 90.00
loop_
_atom_site_label
_atom_site_type_symbol
_atom_site_fract_x
_atom_site_fract_y
_atom_site_fract_z
K1 K 0.000 0.000 0.222
Ca1 Ca 0.500 0.500 0.500
W1 W 0.500 0.500 0.000
```

DFT (SCAN) results for a PBEsol-optimized structure of TlCoRe2F.

* DFT total energy: -1.677 hartree per atom
* uncorrected formation energy: 1.44 eV/atom

CIF file:
```
data_TlCoRe2F
_chemical_formula_sum 'Tl1 Co1 Re2 F1'
_symmetry_space_group_name_H-M 'P 4/m m m'
_symmetry_Int_Tables_number 123
_symmetry_space_group_name_Hall '-P 4 2'
_cell_length_a 4.412
_cell_length_b 4.412
_cell_length_c 4.950
_cell_angle_alpha 90.00
_cell_angle_beta 90.00
_cell_angle_gamma 90.00
loop_
_atom_site_label
_atom_site_type_symbol
_atom_site_fract_x
_atom_site_fract_y
_atom_site_fract_z
Tl1 Tl 0.000 0.000 0.000
Co1 Co 0.000 0.000 0.500
Re1 Re 0.000 0.500 0.500
F1 F 0.500 0.500 0.000
```

DFT (SCAN) results for a PBEsol-optimized structure of LiTe2Au.

* DFT total energy: -1.349 hartree per atom
* uncorrected formation energy: -0.20 eV/atom

CIF file:
```
data_LiTe2Au
_chemical_formula_sum 'Li1 Te2 Au1'
_symmetry_space_group_name_H-M 'P 4/m m m'
_symmetry_Int_Tables_number 123
_symmetry_space_group_name_Hall '-P 4 2'
_cell_length_a 5.292
_cell_length_b 5.292
_cell_length_c 3.142
_cell_angle_alpha 90.00
_cell_angle_beta 90.00
_cell_angle_gamma 90.00
loop_
_atom_site_label
_atom_site_type_symbol
_atom_site_fract_x
_atom_site_fract_y
_atom_site_fract_z
Li1 Li 0.000 0.000 0.000
Te1 Te 0.000 0.500 0.500
Au1 Au 0.500 0.500 0.000
```

DFT (SCAN) results for a PBEsol-optimized structure of TlGeRuRh2.

* DFT total energy: -1.353 hartree per atom
* energy of formation: 1.933 eV per atom

CIF file:
```
data_TlGeRuRh2
_chemical_formula_sum 'Tl1 Ge1 Ru1 Rh2'
_symmetry_space_group_name_H-M 'P 4/m m m'
_symmetry_Int_Tables_number 123
_symmetry_space_group_name_Hall '-P 4 2'
_cell_length_a 4.836
_cell_length_b 4.836
_cell_length_c 4.898
_cell_angle_alpha 90.00
_cell_angle_beta 90.00
_cell_angle_gamma 90.00
loop_
_atom_site_label
_atom_site_type_symbol
_atom_site_fract_x
_atom_site_fract_y
_atom_site_fract_z
Tl1 Tl 0.000 0.000 0.000
Ge1 Ge 0.500 0.500 0.500
Ru1 Ru 0.000 0.000 0.500
Rh1 Rh 0.000 0.500 0.000
```

DFT (SCAN) results for a PBEsol-optimized structure of InCu3.

* DFT total energy: -0.725 hartree per atom
* energy of formation: 0.013 eV per atom

CIF file:
```
data_InCu3
_chemical_formula_sum 'In4 Cu12'
_symmetry_space_group_name_H-M 'C m c m'
_symmetry_Int_Tables_number 63
_symmetry_space_group_name_Hall '-C 2c 2'
_cell_length_a 5.414
_cell_length_b 9.327
_cell_length_c 4.297
_cell_angle_alpha 90.00
_cell_angle_beta 90.00
_cell_angle_gamma 90.00
loop_
_atom_site_label
_atom_site_type_symbol
_atom_site_fract_x
_atom_site_fract_y
_atom_site_fract_z
In1 In 0.000 0.166 0.250
Cu1 Cu 0.000 0.343 0.750
Cu2 Cu 0.235 0.421 0.250
```

DFT (SCAN) results for a PBEsol-optimized structure of MgTaAu.

* DFT total energy: -1.723 hartree per atom
* energy of formation: 0.025 eV per atom
* offset from the most stable computed form: 6.8 kJ/mol of atoms

CIF file:
```
data_MgTaAu
_chemical_formula_sum 'Mg1 Ta1 Au1'
_symmetry_space_group_name_H-M 'P 3 m 1'
_symmetry_Int_Tables_number 156
_cell_length_a 4.5471
_cell_length_b 4.5471
_cell_length_c 2.9346
_cell_angle_alpha 90.00
_cell_angle_beta 90.00
_cell_angle_gamma 120.00
loop_
_symmetry_equiv_pos_as_xyz
'x,y,z'
'-y,x-y,z'
'-x+y,-x,z'
'-y,-x,z'
'-x+y,y,z'
'x,x-y,z'
loop_
_atom_site_label
_atom_site_type_symbol
_atom_site_fract_x
_atom_site_fract_y
_atom_site_fract_z
Mg1 Mg 0.0000 0.0000 0.0000
Ta1 Ta 0.3333 0.6667 0.4523
Au1 Au 0.6667 0.3333 0.7593
```

DFT (SCAN) results for a PBEsol-optimized structure of ZnRe2As.

* DFT total energy: -1.599 hartree per atom
* energy of formation: 0.476 eV per atom
* offset from the most stable computed form: 17.6 kJ/mol of atoms

CIF file:
```
data_ZnRe2As
_chemical_formula_sum 'Zn2 Re4 As2'
_symmetry_space_group_name_H-M 'I -4 m 2'
_symmetry_Int_Tables_number 119
_symmetry_space_group_name_Hall 'I -4 -2'
_cell_length_a 3.881
_cell_length_b 3.881
_cell_length_c 7.648
_cell_angle_alpha 90.00
_cell_angle_beta 90.00
_cell_angle_gamma 90.00
loop_
_atom_site_label
_atom_site_type_symbol
_atom_site_fract_x
_atom_site_fract_y
_atom_site_fract_z
Zn1 Zn 0.000 0.000 0.000
Re1 Re 0.000 0.000 0.500
Re2 Re 0.000 0.500 0.750
As1 As 0.000 0.500 0.250
```

DFT (SCAN) results for a PBEsol-optimized structure of SrMg2Pb.

* DFT total energy: -1.000 hartree per atom
* energy of formation: -0.216 eV per atom

CIF file:
```
data_SrMg2Pb
_chemical_formula_sum 'Sr1 Mg2 Pb1'
_symmetry_space_group_name_H-M 'P 1 2/m 1'
_symmetry_Int_Tables_number 10
_cell_length_a 3.637
_cell_length_b 5.339
_cell_length_c 6.085
_cell_angle_alpha 90.00
_cell_angle_beta 95.50
_cell_angle_gamma 90.00
loop_
_symmetry_equiv_pos_as_xyz
'x,y,z'
'-x,-y,-z'
'-x,y,-z'
'x,-y,z'
loop_
_atom_site_label
_atom_site_type_symbol
_atom_site_fract_x
_atom_site_fract_y
_atom_site_fract_z
Sr1 Sr 0.000 0.000 0.000
Mg1 Mg 0.410 0.500 0.742
Pb1 Pb 0.500 0.000 0.500
```